Entry 1:
VASP calculation (PBE) on an optimized crystal structure of Ac3Tl2Hg3.

abc: 22.441 4.118 5.714
angles: 90.00 102.65 90.00
Space group C2/m (No. 12)
Unique sites:
Ac: 0.000 0.000 0.000 x2
Ac: 0.135 0.000 0.614 x4
Tl: 0.235 0.000 0.220 x4
Hg: 0.000 0.500 0.500 x2
Hg: 0.120 0.500 0.096 x4

Calculated values
The calculated total energy comes out at -2.62 eV/atom. For the distance to the lowest polymorph of the same formula, the calculation gives 0.0251 eV/atom. The energy of formation comes out at -373 meV per atom.

***

Entry 2:
VASP calculation (PBE) on an optimized crystal structure of AcTl2Hg8.

abc: 9.060 16.682 4.745
angles: 90.00 112.54 90.00
Space group C2/m (No. 12)
Unique sites:
Ac: 0.000 0.000 0.000 x2
Tl: 0.000 0.324 0.500 x4
Hg: 0.000 0.205 0.000 x4
Hg: 0.110 0.500 0.828 x4
Hg: 0.205 0.117 0.647 x8

Calculated values
The calculated total energy comes out at -1.12 eV/atom. For the distance to the lowest polymorph of the same formula, the calculation gives 0.0271 eV/atom. The energy of formation comes out at -101 meV per atom.

***

Entry 3:
VASP calculation (PBE) on an optimized crystal structure of Ac4TlHg3.

abc: 17.356 5.735 5.735
angles: 90.00 109.21 90.00
Space group C2/m (No. 12)
Unique sites:
Ac: 0.127 0.000 0.126 x4
Ac: 0.127 0.500 0.627 x4
Tl: 0.000 0.000 0.500 x2
Hg: 0.000 0.500 0.000 x2
Hg: 0.250 0.000 0.750 x4

Calculated values
The calculated total energy comes out at -2.90 eV/atom. For the distance to the lowest polymorph of the same formula, the calculation gives 0.0000 eV/atom. The energy of formation comes out at -435 meV per atom.

***

Entry 4:
VASP calculation (PBE) on an optimized crystal structure of Ac3Tl2Hg3.

abc: 5.006 16.714 6.589
angles: 90.00 112.27 90.00
Space group P2_1/m (No. 11)
Unique sites:
Ac: 0.087 0.105 0.174 x4
Ac: 0.362 0.250 0.723 x2
Tl: 0.206 0.608 0.412 x4
Hg: 0.369 0.750 0.738 x2
Hg: 0.385 0.035 0.770 x4

Calculated values
The calculated total energy comes out at -2.64 eV/atom. For the distance to the lowest polymorph of the same formula, the calculation gives 0.0000 eV/atom. The energy of formation comes out at -398 meV per atom.

***

Repeat the fourth record exactly.
VASP calculation (PBE) on an optimized crystal structure of Ac3Tl2Hg3.

abc: 5.006 16.714 6.589
angles: 90.00 112.27 90.00
Space group P2_1/m (No. 11)
Unique sites:
Ac: 0.087 0.105 0.174 x4
Ac: 0.362 0.250 0.723 x2
Tl: 0.206 0.608 0.412 x4
Hg: 0.369 0.750 0.738 x2
Hg: 0.385 0.035 0.770 x4

Calculated values
The calculated total energy comes out at -2.64 eV/atom. For the distance to the lowest polymorph of the same formula, the calculation gives 0.0000 eV/atom. The energy of formation comes out at -398 meV per atom.

***

> Number 4 is which compound?

Ac3Tl2Hg3